# Y2Ho3Se6 (PBE, relaxed)
# E_form (uncorrected), eV per atom: -1.859
# Total magnetic moment, μB per formula unit: 0.00
# Energy relative to the lowest polymorph listed for this composition, meV/atom: 0
# Space group: C2/m, No. 12
# Volume, Å³/f.u.: 281.68
data_Y2Ho3Se6
_cell_length_a 7.033
_cell_length_b 7.008
_cell_length_c 7.010
_cell_angle_alpha 80.36
_cell_angle_beta 70.50
_cell_angle_gamma 59.88
_symmetry_space_group_name_H-M 'P 1'
_symmetry_Int_Tables_number 1
_symmetry_space_group_name_Hall 'P 1'
loop_
_atom_site_label
_atom_site_type_symbol
_atom_site_fract_x
_atom_site_fract_y
_atom_site_fract_z
Y1 Y 0.165 0.670 0.500
Y2 Y 0.835 0.330 0.500
Ho1 Ho 0.000 0.000 0.000
Ho2 Ho 0.334 0.331 0.000
Ho3 Ho 0.666 0.669 0.000
Se1 Se 0.417 0.672 0.750
Se2 Se 0.744 0.000 0.747
Se3 Se 0.089 0.328 0.750
Se4 Se 0.256 0.000 0.253
Se5 Se 0.583 0.328 0.250
Se6 Se 0.911 0.672 0.250



# Tl3TeAs (PBE, relaxed)
# E_form (uncorrected), eV per atom: 0.087
# Total magnetic moment, μB per formula unit: 0.00
# Energy relative to the lowest polymorph listed for this composition, meV/atom: 218
# Space group: Pm-3m, No. 221
# Volume, Å³/f.u.: 175.63
data_Tl3TeAs
_cell_length_a 5.600
_cell_length_b 5.600
_cell_length_c 5.600
_cell_angle_alpha 90.00
_cell_angle_beta 90.00
_cell_angle_gamma 90.00
_symmetry_space_group_name_H-M 'P 1'
_symmetry_Int_Tables_number 1
_symmetry_space_group_name_Hall 'P 1'
loop_
_atom_site_label
_atom_site_type_symbol
_atom_site_fract_x
_atom_site_fract_y
_atom_site_fract_z
Tl1 Tl 0.000 0.500 0.000
Tl2 Tl 0.000 0.000 0.500
Tl3 Tl 0.500 0.000 0.000
Te1 Te 0.500 0.500 0.500
As1 As 0.000 0.000 0.000



# TlSnCl3 (PBE, relaxed)
# E_form (uncorrected), eV per atom: -1.001
# Total magnetic moment, μB per formula unit: 0.00
# Space group: C2/m, No. 12
# Volume, Å³/f.u.: 164.23
data_TlSnCl3
_cell_length_a 18.651
_cell_length_b 9.313
_cell_length_c 9.313
_cell_angle_alpha 153.71
_cell_angle_beta 149.93
_cell_angle_gamma 30.07
_symmetry_space_group_name_H-M 'P 1'
_symmetry_Int_Tables_number 1
_symmetry_space_group_name_Hall 'P 1'
loop_
_atom_site_label
_atom_site_type_symbol
_atom_site_fract_x
_atom_site_fract_y
_atom_site_fract_z
Tl1 Tl 0.777 0.037 0.963
Tl2 Tl 0.223 0.963 0.037
Sn1 Sn 0.666 0.914 0.086
Sn2 Sn 0.334 0.086 0.914
Cl1 Cl 0.744 0.248 0.752
Cl2 Cl 0.256 0.752 0.248
Cl3 Cl 0.057 0.288 0.712
Cl4 Cl 0.943 0.712 0.288
Cl5 Cl 0.613 0.572 0.428
Cl6 Cl 0.387 0.428 0.572



# La4TlBr5 (PBE, relaxed)
# E_form (uncorrected), eV per atom: -1.411
# Total magnetic moment, μB per formula unit: 0.07
# Space group: C2/m, No. 12
# Volume, Å³/f.u.: 367.03
data_La4TlBr5
_cell_length_a 4.392
_cell_length_b 9.029
_cell_length_c 9.712
_cell_angle_alpha 101.64
_cell_angle_beta 103.07
_cell_angle_gamma 90.00
_symmetry_space_group_name_H-M 'P 1'
_symmetry_Int_Tables_number 1
_symmetry_space_group_name_Hall 'P 1'
loop_
_atom_site_label
_atom_site_type_symbol
_atom_site_fract_x
_atom_site_fract_y
_atom_site_fract_z
La1 La 0.331 0.932 0.662
La2 La 0.994 0.752 0.989
La3 La 0.669 0.068 0.338
La4 La 0.006 0.248 0.011
Tl1 Tl 0.500 0.000 0.000
Br1 Br 0.829 0.689 0.658
Br2 Br 0.836 0.180 0.673
Br3 Br 0.164 0.820 0.327
Br4 Br 0.500 0.500 0.000
Br5 Br 0.171 0.311 0.342



# La2YTl (PBE, relaxed)
# Total magnetic moment, μB per formula unit: 0.00
# Energy relative to the lowest polymorph listed for this composition, meV/atom: 11
# Space group: Cm, No. 8
# Volume, Å³/f.u.: 129.58
# Formation energy from the elements, meV per atom: -208
data_La2YTl
_cell_length_a 6.612
_cell_length_b 6.612
_cell_length_c 6.128
_cell_angle_alpha 64.94
_cell_angle_beta 64.94
_cell_angle_gamma 32.62
_symmetry_space_group_name_H-M 'P 1'
_symmetry_Int_Tables_number 1
_symmetry_space_group_name_Hall 'P 1'
loop_
_atom_site_label
_atom_site_type_symbol
_atom_site_fract_x
_atom_site_fract_y
_atom_site_fract_z
Y1 Y 0.225 0.225 0.343
Tl1 Tl 0.504 0.504 0.408
La1 La 0.994 0.994 0.954
La2 La 0.777 0.777 0.795



# Ga4Te7I (PBE, relaxed)
# E_form (uncorrected), eV per atom: -0.176
# Total magnetic moment, μB per formula unit: 0.56
# Space group: P2_1, No. 4
# Volume, Å³/f.u.: 467.41
data_Ga4Te7I
_cell_length_a 7.006
_cell_length_b 7.662
_cell_length_c 17.417
_cell_angle_alpha 90.97
_cell_angle_beta 90.00
_cell_angle_gamma 90.00
_symmetry_space_group_name_H-M 'P 1'
_symmetry_Int_Tables_number 1
_symmetry_space_group_name_Hall 'P 1'
loop_
_atom_site_label
_atom_site_type_symbol
_atom_site_fract_x
_atom_site_fract_y
_atom_site_fract_z
Ga1 Ga 0.575 0.682 0.878
Ga2 Ga 0.071 0.826 0.246
Ga3 Ga 0.571 0.174 0.254
Ga4 Ga 0.075 0.318 0.622
Ga5 Ga 0.091 0.339 0.362
Ga6 Ga 0.591 0.661 0.138
Ga7 Ga 0.044 0.827 0.770
Ga8 Ga 0.544 0.173 0.730
Te1 Te 0.963 0.653 0.120
Te2 Te 0.463 0.347 0.380
Te3 Te 0.379 0.391 0.834
Te4 Te 0.879 0.609 0.666
Te5 Te 0.911 0.644 0.355
Te6 Te 0.411 0.356 0.145
Te7 Te 0.428 0.836 0.750
Te8 Te 0.928 0.164 0.750
Te9 Te 0.956 0.162 0.237
Te10 Te 0.456 0.838 0.263
Te11 Te 0.391 0.758 0.012
Te12 Te 0.891 0.242 0.488
Te13 Te 0.936 0.721 0.905
Te14 Te 0.436 0.279 0.595
I1 I 0.909 0.877 0.551
I2 I 0.409 0.123 0.949



# Pr2Ni4As3Pd (PBE, relaxed)
# Total magnetic moment, μB per formula unit: 0.00
# Space group: P-4m2, No. 115
# Volume, Å³/f.u.: 170.23
# Formation energy from the elements, meV per atom: -742
data_Pr2Ni4As3Pd
_cell_length_a 4.161
_cell_length_b 4.161
_cell_length_c 9.830
_cell_angle_alpha 90.00
_cell_angle_beta 90.00
_cell_angle_gamma 90.00
_symmetry_space_group_name_H-M 'P 1'
_symmetry_Int_Tables_number 1
_symmetry_space_group_name_Hall 'P 1'
loop_
_atom_site_label
_atom_site_type_symbol
_atom_site_fract_x
_atom_site_fract_y
_atom_site_fract_z
Pr1 Pr 0.500 0.000 0.248
Pr2 Pr 0.000 0.500 0.752
Ni1 Ni 0.500 0.500 0.000
Ni2 Ni 0.000 0.000 0.000
Ni3 Ni 0.500 0.000 0.635
Ni4 Ni 0.000 0.500 0.365
As1 As 0.000 0.000 0.500
As2 As 0.500 0.000 0.873
As3 As 0.000 0.500 0.127
Pd1 Pd 0.500 0.500 0.500



# HgBi2Te (PBE, relaxed)
# E_form (uncorrected), eV per atom: 0.093
# Total magnetic moment, μB per formula unit: 0.00
# Energy relative to the lowest polymorph listed for this composition, meV/atom: 46
# Space group: P4/mmm, No. 123
# Volume, Å³/f.u.: 117.42
data_HgBi2Te
_cell_length_a 3.901
_cell_length_b 5.486
_cell_length_c 5.486
_cell_angle_alpha 90.00
_cell_angle_beta 90.00
_cell_angle_gamma 90.00
_symmetry_space_group_name_H-M 'P 1'
_symmetry_Int_Tables_number 1
_symmetry_space_group_name_Hall 'P 1'
loop_
_atom_site_label
_atom_site_type_symbol
_atom_site_fract_x
_atom_site_fract_y
_atom_site_fract_z
Te1 Te 0.500 0.500 0.500
Bi1 Bi 0.000 0.000 0.500
Bi2 Bi 0.000 0.500 0.000
Hg1 Hg 0.500 0.000 0.000